BaAg7Br12 | PBE | relaxed

DOS(E_F)   20.18 states/eV/cell
Energy relative to the elements, uncorrected   -0.5419 eV/atom

Cell lengths 9.0516, 9.0516, 9.0516 Å; angles 109.47, 109.47, 109.47 degrees
With the nearest neighbours (Å) after each atom.
Atoms (fractional coordinates):
Ba 0.0000 0.0000 0.0000  12 Br 3.67
Ag 0.0000 0.0000 0.5000  6 Br 2.79
Ag 0.0000 0.5000 0.0000  6 Br 2.79
Ag 0.0000 0.5000 0.5000  4 Br 2.74
Ag 0.5000 0.0000 0.0000  6 Br 2.79
Ag 0.5000 0.0000 0.5000  4 Br 2.74
Ag 0.5000 0.5000 0.0000  4 Br 2.74
Ag 0.5000 0.5000 0.5000  6 Br 2.79
Br 0.1305 0.8260 0.3045  3 Ag 2.74-2.79
Br 0.1740 0.3045 0.4785  3 Ag 2.74-2.79
Br 0.1740 0.6955 0.8695  3 Ag 2.74-2.79
Br 0.3045 0.1305 0.8260  3 Ag 2.74-2.79
Br 0.3045 0.4785 0.1740  3 Ag 2.74-2.79
Br 0.4785 0.1740 0.3045  3 Ag 2.74-2.79
Br 0.5215 0.8260 0.6955  3 Ag 2.74-2.79
Br 0.6955 0.5215 0.8260  3 Ag 2.74-2.79
Br 0.6955 0.8695 0.1740  3 Ag 2.74-2.79
Br 0.8260 0.3045 0.1305  3 Ag 2.74-2.79
Br 0.8260 0.6955 0.5215  3 Ag 2.74-2.79
Br 0.8695 0.1740 0.6955  3 Ag 2.74-2.79